w:
YHfV2 | GGA-PBE | relaxed

a = 6.897 Å, b = 6.897 Å, c = 6.897 Å
α = 90.00°, β = 90.00°, γ = 90.00°
Atoms (fractional coordinates):
Y: 0.000 0.000 0.000
Y: 0.000 0.500 0.500
Y: 0.500 0.000 0.500
Y: 0.500 0.500 0.000
Hf: 0.000 0.000 0.500
Hf: 0.000 0.500 0.000
Hf: 0.500 0.000 0.000
Hf: 0.500 0.500 0.500
V: 0.250 0.250 0.250
V: 0.250 0.250 0.750
V: 0.250 0.750 0.250
V: 0.250 0.750 0.750
V: 0.750 0.250 0.250
V: 0.750 0.250 0.750
V: 0.750 0.750 0.250
V: 0.750 0.750 0.750

Results
As for the density of states at the Fermi level: 19.82 states/eV/cell. The space group is Fm-3m (225).


x:
YHfV2 | GGA-PBE | relaxed

a = 7.391 Å, b = 7.391 Å, c = 5.889 Å
α = 90.00°, β = 90.00°, γ = 90.00°
Atoms (fractional coordinates):
Y: 0.000 0.000 0.000
Y: 0.000 0.500 0.250
Y: 0.500 0.000 0.750
Y: 0.500 0.500 0.500
Hf: 0.000 0.000 0.500
Hf: 0.000 0.500 0.750
Hf: 0.500 0.000 0.250
Hf: 0.500 0.500 0.000
V: 0.238 0.250 0.625
V: 0.250 0.738 0.875
V: 0.250 0.762 0.375
V: 0.262 0.250 0.125
V: 0.738 0.750 0.125
V: 0.750 0.238 0.375
V: 0.750 0.262 0.875
V: 0.762 0.750 0.625

Results
As for the density of states at the Fermi level: 18.46 states/eV/cell. The space group is I-42d (122).


It is w that is the most stable of them.


w:
HfVZn3 | GGA-PBE | relaxed

a = 5.077 Å, b = 5.077 Å, c = 5.077 Å
α = 90.00°, β = 90.00°, γ = 90.00°
Atoms (fractional coordinates):
Hf: 0.000 0.000 0.000
V: 0.500 0.500 0.500
Zn: 0.000 0.000 0.500
Zn: 0.000 0.500 0.000
Zn: 0.500 0.000 0.000

Results
As for the density of states at the Fermi level: 8.49 states/eV/cell. The space group is Pm-3m (221).


x:
HfVZn3 | GGA-PBE | relaxed

a = 4.585 Å, b = 4.585 Å, c = 4.585 Å
α = 90.00°, β = 90.00°, γ = 90.00°
Atoms (fractional coordinates):
Hf: 0.000 0.000 0.000
V: 0.500 0.500 0.500
Zn: 0.000 0.500 0.500
Zn: 0.500 0.000 0.500
Zn: 0.500 0.500 0.000

Results
As for the density of states at the Fermi level: 3.57 states/eV/cell. The space group is Pm-3m (221).


It is x that is the most stable of them.